[1]
# Ta3CuBi (GGA-PBE, relaxed)
# N(E_F) = 4.23 states/eV/cell
# Space group = Pm-3m, No. 221
# Electronic total energy = -7.64 eV per atom
# DFT formation energy = 1071 meV/atom
# Excess energy over the best structure of this formula in the dataset = 0.0 meV/atom
data_Ta3CuBi
_chemical_formula_sum 'Ta3 Cu1 Bi1'
_symmetry_space_group_name_H-M 'P 1'
_symmetry_Int_Tables_number 1
_symmetry_space_group_name_Hall 'P 1'
_cell_length_a 4.7235
_cell_length_b 4.7235
_cell_length_c 4.7235
_cell_angle_alpha 90.00
_cell_angle_beta 90.00
_cell_angle_gamma 90.00
loop_
_atom_site_label
_atom_site_type_symbol
_atom_site_fract_x
_atom_site_fract_y
_atom_site_fract_z
_atom_site_occupancy
Ta1 Ta 0.0000 0.0000 0.5000 1
Ta2 Ta 0.0000 0.5000 0.0000 1
Ta3 Ta 0.5000 0.0000 0.0000 1
Cu1 Cu 0.0000 0.0000 0.0000 1
Bi1 Bi 0.5000 0.5000 0.5000 1

***

[2]
# TaCu2Bi (GGA-PBE, relaxed)
# N(E_F) = 1.88 states/eV/cell
# Space group = I-42d, No. 122
# Electronic total energy = -5.40 eV per atom
# DFT formation energy = 585 meV/atom
data_TaCu2Bi
_chemical_formula_sum 'Ta2 Cu4 Bi2'
_symmetry_space_group_name_H-M 'P 1'
_symmetry_Int_Tables_number 1
_symmetry_space_group_name_Hall 'P 1'
_cell_length_a 5.8674
_cell_length_b 5.8674
_cell_length_c 5.8674
_cell_angle_alpha 103.28
_cell_angle_beta 103.28
_cell_angle_gamma 122.72
loop_
_atom_site_label
_atom_site_type_symbol
_atom_site_fract_x
_atom_site_fract_y
_atom_site_fract_z
_atom_site_occupancy
Ta1 Ta 0.0000 0.0000 0.0000 1
Ta2 Ta 0.7500 0.2500 0.5000 1
Cu1 Cu 0.1152 0.6250 0.9902 1
Cu2 Cu 0.3750 0.3652 0.4902 1
Cu3 Cu 0.6348 0.1250 0.0098 1
Cu4 Cu 0.8750 0.8848 0.5098 1
Bi1 Bi 0.2500 0.7500 0.5000 1
Bi2 Bi 0.5000 0.5000 0.0000 1

***

[3]
# Ta2CuBi (GGA-PBE, relaxed)
# N(E_F) = 5.55 states/eV/cell
# Space group = I-42d, No. 122
# Electronic total energy = -7.24 eV per atom
# DFT formation energy = 683 meV/atom
data_Ta2CuBi
_chemical_formula_sum 'Ta4 Cu2 Bi2'
_symmetry_space_group_name_H-M 'P 1'
_symmetry_Int_Tables_number 1
_symmetry_space_group_name_Hall 'P 1'
_cell_length_a 10.6797
_cell_length_b 10.6797
_cell_length_c 10.6797
_cell_angle_alpha 158.68
_cell_angle_beta 158.68
_cell_angle_gamma 30.34
loop_
_atom_site_label
_atom_site_type_symbol
_atom_site_fract_x
_atom_site_fract_y
_atom_site_fract_z
_atom_site_occupancy
Ta1 Ta 0.1209 0.6250 0.9959 1
Ta2 Ta 0.3750 0.3709 0.4959 1
Ta3 Ta 0.6291 0.1250 0.0041 1
Ta4 Ta 0.8750 0.8791 0.5041 1
Cu1 Cu 0.0000 0.0000 0.0000 1
Cu2 Cu 0.7500 0.2500 0.5000 1
Bi1 Bi 0.2500 0.7500 0.5000 1
Bi2 Bi 0.5000 0.5000 0.0000 1

***

[4]
# TaCuBi2 (GGA-PBE, relaxed)
# N(E_F) = 0.49 states/eV/cell
# Space group = I-42d, No. 122
# Electronic total energy = -5.06 eV per atom
# DFT formation energy = 863 meV/atom
data_TaCuBi2
_chemical_formula_sum 'Ta2 Cu2 Bi4'
_symmetry_space_group_name_H-M 'P 1'
_symmetry_Int_Tables_number 1
_symmetry_space_group_name_Hall 'P 1'
_cell_length_a 7.6586
_cell_length_b 7.6586
_cell_length_c 7.6586
_cell_angle_alpha 130.73
_cell_angle_beta 130.73
_cell_angle_gamma 72.25
loop_
_atom_site_label
_atom_site_type_symbol
_atom_site_fract_x
_atom_site_fract_y
_atom_site_fract_z
_atom_site_occupancy
Ta1 Ta 0.0000 0.0000 0.0000 1
Ta2 Ta 0.7500 0.2500 0.5000 1
Cu1 Cu 0.2500 0.7500 0.5000 1
Cu2 Cu 0.5000 0.5000 0.0000 1
Bi1 Bi 0.1369 0.6250 0.0119 1
Bi2 Bi 0.3750 0.3869 0.5119 1
Bi3 Bi 0.6131 0.1250 0.9881 1
Bi4 Bi 0.8750 0.8631 0.4881 1

***

[5]
# Ta3CuBi (GGA-PBE, relaxed)
# N(E_F) = 7.68 states/eV/cell
# Space group = Pm-3m, No. 221
# Electronic total energy = -6.14 eV per atom
# DFT formation energy = 2571 meV/atom
# Excess energy over the best structure of this formula in the dataset = 1499.9 meV/atom
data_Ta3CuBi
_chemical_formula_sum 'Ta3 Cu1 Bi1'
_symmetry_space_group_name_H-M 'P 1'
_symmetry_Int_Tables_number 1
_symmetry_space_group_name_Hall 'P 1'
_cell_length_a 5.1221
_cell_length_b 5.1221
_cell_length_c 5.1221
_cell_angle_alpha 90.00
_cell_angle_beta 90.00
_cell_angle_gamma 90.00
loop_
_atom_site_label
_atom_site_type_symbol
_atom_site_fract_x
_atom_site_fract_y
_atom_site_fract_z
_atom_site_occupancy
Ta1 Ta 0.0000 0.0000 0.5000 1
Ta2 Ta 0.0000 0.5000 0.0000 1
Ta3 Ta 0.5000 0.0000 0.0000 1
Cu1 Cu 0.5000 0.5000 0.5000 1
Bi1 Bi 0.0000 0.0000 0.0000 1

***

[6]
# Ta2TiCuBi (GGA-PBE, relaxed)
# N(E_F) = 3.15 states/eV/cell
# Space group = P4/mmm, No. 123
# Electronic total energy = -5.74 eV per atom
# DFT formation energy = 2178 meV/atom
data_Ta2TiCuBi
_chemical_formula_sum 'Ta2 Ti1 Cu1 Bi1'
_symmetry_space_group_name_H-M 'P 1'
_symmetry_Int_Tables_number 1
_symmetry_space_group_name_Hall 'P 1'
_cell_length_a 5.1574
_cell_length_b 5.1574
_cell_length_c 5.0125
_cell_angle_alpha 90.00
_cell_angle_beta 90.00
_cell_angle_gamma 90.00
loop_
_atom_site_label
_atom_site_type_symbol
_atom_site_fract_x
_atom_site_fract_y
_atom_site_fract_z
_atom_site_occupancy
Ta1 Ta 0.0000 0.5000 0.0000 1
Ta2 Ta 0.5000 0.0000 0.0000 1
Ti1 Ti 0.0000 0.0000 0.5000 1
Cu1 Cu 0.5000 0.5000 0.5000 1
Bi1 Bi 0.0000 0.0000 0.0000 1

***

[7]
# Ta2VCuBi (GGA-PBE, relaxed)
# N(E_F) = 5.71 states/eV/cell
# Space group = P4/mmm, No. 123
# Electronic total energy = -7.13 eV per atom
# DFT formation energy = 1029 meV/atom
data_Ta2VCuBi
_chemical_formula_sum 'Ta2 V1 Cu1 Bi1'
_symmetry_space_group_name_H-M 'P 1'
_symmetry_Int_Tables_number 1
_symmetry_space_group_name_Hall 'P 1'
_cell_length_a 4.7212
_cell_length_b 4.7212
_cell_length_c 4.5681
_cell_angle_alpha 90.00
_cell_angle_beta 90.00
_cell_angle_gamma 90.00
loop_
_atom_site_label
_atom_site_type_symbol
_atom_site_fract_x
_atom_site_fract_y
_atom_site_fract_z
_atom_site_occupancy
Ta1 Ta 0.0000 0.5000 0.0000 1
Ta2 Ta 0.5000 0.0000 0.0000 1
V1 V 0.0000 0.0000 0.5000 1
Cu1 Cu 0.0000 0.0000 0.0000 1
Bi1 Bi 0.5000 0.5000 0.5000 1

***

[8]
# Zr2TaCuBi (GGA-PBE, relaxed)
# N(E_F) = 4.81 states/eV/cell
# Space group = P4/mmm, No. 123
# Electronic total energy = -5.66 eV per atom
# DFT formation energy = 1723 meV/atom
data_Zr2TaCuBi
_chemical_formula_sum 'Zr2 Ta1 Cu1 Bi1'
_symmetry_space_group_name_H-M 'P 1'
_symmetry_Int_Tables_number 1
_symmetry_space_group_name_Hall 'P 1'
_cell_length_a 5.3782
_cell_length_b 5.3782
_cell_length_c 5.1555
_cell_angle_alpha 90.00
_cell_angle_beta 90.00
_cell_angle_gamma 90.00
loop_
_atom_site_label
_atom_site_type_symbol
_atom_site_fract_x
_atom_site_fract_y
_atom_site_fract_z
_atom_site_occupancy
Zr1 Zr 0.0000 0.5000 0.0000 1
Zr2 Zr 0.5000 0.0000 0.0000 1
Ta1 Ta 0.0000 0.0000 0.5000 1
Cu1 Cu 0.5000 0.5000 0.5000 1
Bi1 Bi 0.0000 0.0000 0.0000 1

***

[9]
# Tb8CuBi2 (GGA-PBE, relaxed)
# N(E_F) = 12.23 states/eV/cell
# Space group = C2/m, No. 12
# Electronic total energy = -4.73 eV per atom
# DFT formation energy = -284 meV/atom
data_Tb8CuBi2
_chemical_formula_sum 'Tb8 Cu1 Bi2'
_symmetry_space_group_name_H-M 'P 1'
_symmetry_Int_Tables_number 1
_symmetry_space_group_name_Hall 'P 1'
_cell_length_a 9.3988
_cell_length_b 9.3988
_cell_length_c 6.8458
_cell_angle_alpha 93.12
_cell_angle_beta 93.12
_cell_angle_gamma 32.07
loop_
_atom_site_label
_atom_site_type_symbol
_atom_site_fract_x
_atom_site_fract_y
_atom_site_fract_z
_atom_site_occupancy
Tb1 Tb 0.0268 0.0268 0.2593 1
Tb2 Tb 0.2124 0.2124 0.1291 1
Tb3 Tb 0.3487 0.3487 0.5924 1
Tb4 Tb 0.4111 0.4111 0.0773 1
Tb5 Tb 0.5889 0.5889 0.9227 1
Tb6 Tb 0.6513 0.6513 0.4076 1
Tb7 Tb 0.7876 0.7876 0.8709 1
Tb8 Tb 0.9732 0.9732 0.7407 1
Cu1 Cu 0.5000 0.5000 0.5000 1
Bi1 Bi 0.1680 0.1680 0.6676 1
Bi2 Bi 0.8320 0.8320 0.3324 1

***

[10]
# Tb4Cu2Bi (GGA-PBE, relaxed)
# N(E_F) = 15.04 states/eV/cell
# Space group = P1, No. 1
# Electronic total energy = -4.68 eV per atom
# DFT formation energy = -311 meV/atom
data_Tb4Cu2Bi
_chemical_formula_sum 'Tb8 Cu4 Bi2'
_symmetry_space_group_name_H-M 'P 1'
_symmetry_Int_Tables_number 1
_symmetry_space_group_name_Hall 'P 1'
_cell_length_a 6.6843
_cell_length_b 7.9455
_cell_length_c 8.1938
_cell_angle_alpha 108.23
_cell_angle_beta 106.60
_cell_angle_gamma 106.96
loop_
_atom_site_label
_atom_site_type_symbol
_atom_site_fract_x
_atom_site_fract_y
_atom_site_fract_z
_atom_site_occupancy
Tb1 Tb 0.0000 0.0000 0.0000 1
Tb2 Tb 0.0053 0.4030 0.8021 1
Tb3 Tb 0.2902 0.4882 0.2486 1
Tb4 Tb 0.2969 0.7793 0.6558 1
Tb5 Tb 0.4099 0.1290 0.4778 1
Tb6 Tb 0.5985 0.5338 0.9399 1
Tb7 Tb 0.7345 0.3158 0.2408 1
Tb8 Tb 0.8515 0.9387 0.4558 1
Cu1 Cu 0.0510 0.7272 0.2426 1
Cu2 Cu 0.1368 0.3316 0.4961 1
Cu3 Cu 0.2725 0.1642 0.8198 1
Cu4 Cu 0.6724 0.1604 0.8563 1
Bi1 Bi 0.4106 0.8487 0.0899 1
Bi2 Bi 0.7263 0.6142 0.6145 1

***

[11]
# TbCuBi (GGA-PBE, relaxed)
# N(E_F) = 2.76 states/eV/cell
# Space group = P2_1/m, No. 11
# Electronic total energy = -4.57 eV per atom
# DFT formation energy = -369 meV/atom
data_TbCuBi
_chemical_formula_sum 'Tb2 Cu2 Bi2'
_symmetry_space_group_name_H-M 'P 1'
_symmetry_Int_Tables_number 1
_symmetry_space_group_name_Hall 'P 1'
_cell_length_a 3.5542
_cell_length_b 4.3654
_cell_length_c 10.0591
_cell_angle_alpha 90.00
_cell_angle_beta 100.08
_cell_angle_gamma 90.00
loop_
_atom_site_label
_atom_site_type_symbol
_atom_site_fract_x
_atom_site_fract_y
_atom_site_fract_z
_atom_site_occupancy
Tb1 Tb 0.0879 0.2500 0.1772 1
Tb2 Tb 0.9121 0.7500 0.8228 1
Cu1 Cu 0.4677 0.2500 0.9353 1
Cu2 Cu 0.5323 0.7500 0.0647 1
Bi1 Bi 0.3239 0.2500 0.6446 1
Bi2 Bi 0.6761 0.7500 0.3554 1

***

[12]
# Tb5Cu2Bi (GGA-PBE, relaxed)
# N(E_F) = 15.81 states/eV/cell
# Space group = I4/mcm, No. 140
# Electronic total energy = -4.75 eV per atom
# DFT formation energy = -348 meV/atom
data_Tb5Cu2Bi
_chemical_formula_sum 'Tb10 Cu4 Bi2'
_symmetry_space_group_name_H-M 'P 1'
_symmetry_Int_Tables_number 1
_symmetry_space_group_name_Hall 'P 1'
_cell_length_a 8.6415
_cell_length_b 8.6415
_cell_length_c 8.6415
_cell_angle_alpha 124.76
_cell_angle_beta 124.76
_cell_angle_gamma 81.93
loop_
_atom_site_label
_atom_site_type_symbol
_atom_site_fract_x
_atom_site_fract_y
_atom_site_fract_z
_atom_site_occupancy
Tb1 Tb 0.0000 0.0000 0.0000 1
Tb2 Tb 0.0129 0.5129 0.8056 1
Tb3 Tb 0.2073 0.0129 0.5000 1
Tb4 Tb 0.2927 0.7927 0.8056 1
Tb5 Tb 0.4871 0.2927 0.5000 1
Tb6 Tb 0.5000 0.5000 0.0000 1
Tb7 Tb 0.5129 0.7073 0.5000 1
Tb8 Tb 0.7073 0.2073 0.1944 1
Tb9 Tb 0.7927 0.9871 0.5000 1
Tb10 Tb 0.9871 0.4871 0.1944 1
Cu1 Cu 0.1325 0.3675 0.5000 1
Cu2 Cu 0.3675 0.8675 0.2349 1
Cu3 Cu 0.6325 0.1325 0.7651 1
Cu4 Cu 0.8675 0.6325 0.5000 1
Bi1 Bi 0.2500 0.2500 0.0000 1
Bi2 Bi 0.7500 0.7500 0.0000 1

***

[13]
# Tb2CuBi (GGA-PBE, relaxed)
# N(E_F) = 5.33 states/eV/cell
# Space group = R-3m, No. 166
# Electronic total energy = -4.27 eV per atom
# DFT formation energy = 44 meV/atom
data_Tb2CuBi
_chemical_formula_sum 'Tb2 Cu1 Bi1'
_symmetry_space_group_name_H-M 'P 1'
_symmetry_Int_Tables_number 1
_symmetry_space_group_name_Hall 'P 1'
_cell_length_a 10.4569
_cell_length_b 10.4569
_cell_length_c 10.4569
_cell_angle_alpha 19.92
_cell_angle_beta 19.92
_cell_angle_gamma 19.92
loop_
_atom_site_label
_atom_site_type_symbol
_atom_site_fract_x
_atom_site_fract_y
_atom_site_fract_z
_atom_site_occupancy
Tb1 Tb 0.1032 0.1032 0.1032 1
Tb2 Tb 0.8968 0.8968 0.8968 1
Cu1 Cu 0.5000 0.5000 0.5000 1
Bi1 Bi 0.0000 0.0000 0.0000 1